# Pm6DyY2Sc3 PBE-GGA optimized geometry
# size of the total moment	0.00	μB per cell
# calculated total energy	-5.3746	eV per atom
# energy relative to the elements	0.044	eV per atom
# SG	C2/m
data_Pm6DyY2Sc3
_space_group_name_H-M_alt 'P 1'
_space_group_IT_number 1
_cell_length_a 6.150
_cell_length_b 6.150
_cell_length_c 11.525
_cell_angle_alpha 95.09
_cell_angle_beta 95.09
_cell_angle_gamma 119.98
loop_
_space_group_symop_operation_xyz
'x,y,z'
loop_
_atom_site_label
_atom_site_fract_x
_atom_site_fract_y
_atom_site_fract_z
Pm1 0.087 0.419 0.760
Pm2 0.246 0.246 0.241
Pm3 0.419 0.087 0.760
Pm4 0.581 0.913 0.240
Pm5 0.754 0.754 0.759
Pm6 0.913 0.581 0.240
Dy1 0.000 0.000 0.500
Y1 0.333 0.667 0.500
Y2 0.667 0.333 0.500
Sc1 0.167 0.833 0.000
Sc2 0.500 0.500 0.000
Sc3 0.833 0.167 0.000



# PmDyYSc PBE-GGA optimized geometry
# energy above the most stable polymorph in this dataset	0.009	eV per atom
# size of the total moment	0.00	μB per cell
# calculated total energy	-5.4205	eV per atom
# energy relative to the elements	0.117	eV per atom
# SG	F-43m
data_PmDyYSc
_space_group_name_H-M_alt 'P 1'
_space_group_IT_number 1
_cell_length_a 7.890
_cell_length_b 7.890
_cell_length_c 7.890
_cell_angle_alpha 90.00
_cell_angle_beta 90.00
_cell_angle_gamma 90.00
loop_
_space_group_symop_operation_xyz
'x,y,z'
loop_
_atom_site_label
_atom_site_fract_x
_atom_site_fract_y
_atom_site_fract_z
Pm1 0.000 0.000 0.000
Pm2 0.000 0.500 0.500
Pm3 0.500 0.000 0.500
Pm4 0.500 0.500 0.000
Dy1 0.000 0.000 0.500
Dy2 0.000 0.500 0.000
Dy3 0.500 0.000 0.000
Dy4 0.500 0.500 0.500
Y1 0.250 0.250 0.250
Y2 0.250 0.750 0.750
Y3 0.750 0.250 0.750
Y4 0.750 0.750 0.250
Sc1 0.250 0.250 0.750
Sc2 0.250 0.750 0.250
Sc3 0.750 0.250 0.250
Sc4 0.750 0.750 0.750



# Pm2DyYSc5 PBE-GGA optimized geometry
# size of the total moment	0.00	μB per cell
# calculated total energy	-5.5299	eV per atom
# energy relative to the elements	0.273	eV per atom
# SG	I4/mcm
data_Pm2DyYSc5
_space_group_name_H-M_alt 'P 1'
_space_group_IT_number 1
_cell_length_a 9.363
_cell_length_b 9.363
_cell_length_c 9.363
_cell_angle_alpha 127.24
_cell_angle_beta 127.24
_cell_angle_gamma 77.86
loop_
_space_group_symop_operation_xyz
'x,y,z'
loop_
_atom_site_label
_atom_site_fract_x
_atom_site_fract_y
_atom_site_fract_z
Pm1 0.120 0.620 0.740
Pm2 0.380 0.120 0.500
Pm3 0.620 0.880 0.500
Pm4 0.880 0.380 0.260
Dy1 0.250 0.250 0.000
Dy2 0.750 0.750 0.000
Y1 0.250 0.750 0.500
Y2 0.750 0.250 0.500
Sc1 0.000 0.000 0.000
Sc2 0.074 0.151 0.500
Sc3 0.151 0.651 0.077
Sc4 0.349 0.426 0.500
Sc5 0.426 0.926 0.077
Sc6 0.500 0.500 0.000
Sc7 0.574 0.074 0.923
Sc8 0.651 0.574 0.500
Sc9 0.849 0.349 0.923
Sc10 0.926 0.849 0.500



# PmDy4Y2Sc PBE-GGA optimized geometry
# size of the total moment	6.12	μB per cell
# calculated total energy	-4.8662	eV per atom
# energy relative to the elements	0.436	eV per atom
# SG	Imma
data_PmDy4Y2Sc
_space_group_name_H-M_alt 'P 1'
_space_group_IT_number 1
_cell_length_a 9.399
_cell_length_b 9.399
_cell_length_c 9.399
_cell_angle_alpha 137.90
_cell_angle_beta 103.30
_cell_angle_gamma 91.60
loop_
_space_group_symop_operation_xyz
'x,y,z'
loop_
_atom_site_label
_atom_site_fract_x
_atom_site_fract_y
_atom_site_fract_z
Pm1 0.000 0.000 0.000
Pm2 0.500 0.000 0.500
Dy1 0.261 0.260 0.499
Dy2 0.261 0.763 0.001
Dy3 0.263 0.249 0.014
Dy4 0.265 0.751 0.514
Dy5 0.735 0.249 0.486
Dy6 0.737 0.751 0.986
Dy7 0.739 0.237 0.999
Dy8 0.739 0.740 0.501
Y1 0.000 0.000 0.500
Y2 0.000 0.500 0.000
Y3 0.000 0.500 0.500
Y4 0.500 0.500 0.000
Sc1 0.500 0.000 0.000
Sc2 0.500 0.500 0.500



# PmDyYSc PBE-GGA optimized geometry
# energy above the most stable polymorph in this dataset	0.000	eV per atom
# size of the total moment	0.00	μB per cell
# calculated total energy	-5.4295	eV per atom
# energy relative to the elements	0.108	eV per atom
# SG	Cm
data_PmDyYSc
_space_group_name_H-M_alt 'P 1'
_space_group_IT_number 1
_cell_length_a 12.155
_cell_length_b 5.625
_cell_length_c 3.797
_cell_angle_alpha 90.00
_cell_angle_beta 108.19
_cell_angle_gamma 90.00
loop_
_space_group_symop_operation_xyz
'x,y,z'
loop_
_atom_site_label
_atom_site_fract_x
_atom_site_fract_y
_atom_site_fract_z
Pm1 0.000 0.000 0.000
Pm2 0.500 0.500 0.000
Dy1 0.044 0.500 0.544
Dy2 0.544 0.000 0.544
Y1 0.276 0.000 0.779
Y2 0.776 0.500 0.779
Sc1 0.271 0.500 0.272
Sc2 0.771 0.000 0.272



# Pm2DyY6Sc3 PBE-GGA optimized geometry
# size of the total moment	0.00	μB per cell
# calculated total energy	-5.9389	eV per atom
# energy relative to the elements	0.051	eV per atom
# SG	C2/m
data_Pm2DyY6Sc3
_space_group_name_H-M_alt 'P 1'
_space_group_IT_number 1
_cell_length_a 6.097
_cell_length_b 6.097
_cell_length_c 11.555
_cell_angle_alpha 95.04
_cell_angle_beta 95.04
_cell_angle_gamma 119.99
loop_
_space_group_symop_operation_xyz
'x,y,z'
loop_
_atom_site_label
_atom_site_fract_x
_atom_site_fract_y
_atom_site_fract_z
Pm1 0.167 0.833 0.000
Pm2 0.833 0.167 0.000
Dy1 0.500 0.500 0.000
Y1 0.080 0.413 0.739
Y2 0.254 0.254 0.261
Y3 0.413 0.080 0.739
Y4 0.587 0.920 0.261
Y5 0.746 0.746 0.739
Y6 0.920 0.587 0.261
Sc1 0.000 0.000 0.500
Sc2 0.333 0.667 0.500
Sc3 0.667 0.333 0.500